A plane-wave DFT calculation with PBEsol was carried out for a relaxed structure of BaPWO2.

Computed properties:
E_form (uncorrected)   -1.48 eV/atom
Crystal system   tetragonal
Space group   No. 123
Density of states at the Fermi level   1.1 states/eV/cell
DFT total energy   -39.660 eV per cell

```
5
Lattice="4.1178 0.0000 0.0000 0.0000 4.1178 0.0000 0.0000 0.0000 4.7551" Properties=species:S:1:pos:R:3 pbc="T T T"
Ba 0.0000 0.0000 0.0000
P 2.0589 2.0589 0.0000
W 2.0589 2.0589 2.3775
O 0.0000 2.0589 2.3775
O 2.0589 0.0000 2.3775
```